A plane-wave DFT calculation with GGA-PBE was carried out for an optimized crystal structure of Pu2TiGe4Ir3.

The uncorrected energy is -8.7243 eV per atom. The total magnetization comes out at 10.3 μB per formula unit.

a b c (Å): 4.150 4.150 10.798
angles (deg): 90.00 90.00 90.00
Element x y z (fractional)
1 Pu 0.000 0.500 0.246
2 Pu 0.500 0.000 0.754
3 Ti 0.000 0.000 0.500
4 Ge 0.000 0.000 0.000
5 Ge 0.000 0.500 0.644
6 Ge 0.500 0.000 0.356
7 Ge 0.500 0.500 0.000
8 Ir 0.000 0.500 0.872
9 Ir 0.500 0.000 0.128
10 Ir 0.500 0.500 0.500